(1)
The following is a GGA-PBE calculation of a relaxed CrAs3Os crystal, from Alexandria via LeMat-Bulk.

Cell and atoms, written as POSCAR:
```
CrAs3Os
1.0
4.557 0.000 0.000
0.000 4.557 0.000
0.000 0.000 4.557
Cr As Os
1 3 1
Direct
0.000 0.000 0.000
0.000 0.000 0.500
0.000 0.500 0.000
0.500 0.000 0.000
0.500 0.500 0.500
```

Calculated values
- E (eV per atom) = -5.83
- energy of formation (meV/atom) = 1133
- N(E_F) (states/eV per cell) = 5.23


(2)
The following is a GGA-PBE calculation of a relaxed CrAsOs2 crystal, from Alexandria via LeMat-Bulk.

Cell and atoms, written as POSCAR:
```
CrAsOs2
1.0
2.883 0.000 0.000
0.000 2.883 0.000
0.000 0.000 6.584
Cr As Os
1 1 2
Direct
0.000 0.000 0.000
0.500 0.500 0.788
0.000 0.000 0.535
0.500 0.500 0.260
```

Calculated values
- E (eV per atom) = -8.95
- energy of formation (meV/atom) = 229
- N(E_F) (states/eV per cell) = 3.90